(1)
Sm2Sb3Pd5 | PBE | relaxed

Properties
* energy: -5.574 eV/atom
* energy relative to the elements, uncorrected: -0.80 eV/atom
* theoretical density: 9.55 Mg/m³
* space group: Cmc2_1

a b c (Å): 4.5627 7.1455 12.9856
angles (deg): 90.00 100.12 90.00
With the nearest neighbours (Å) after each atom.
Fractional positions:
Sm1 0.4834 0.7554 0.9668  5 Sb 3.13-3.25, 8 Pd 3.15-3.48
Sm2 0.5166 0.2554 0.0332  5 Sb 3.13-3.25, 8 Pd 3.15-3.48
Sm3 0.1763 0.7372 0.3527  9 Pd 3.14-3.43, 5 Sb 3.18-3.49
Sm4 0.8237 0.2372 0.6473  9 Pd 3.14-3.43, 5 Sb 3.18-3.49
Sb1 0.3920 0.0467 0.7839  4 Pd 2.71-2.83
Sb2 0.9470 0.4619 0.8940  5 Pd 2.70-2.80
Sb3 0.6080 0.5467 0.2161  4 Pd 2.71-2.83
Sb4 0.2209 0.1915 0.4419  7 Pd 2.62-2.77
Sb5 0.0530 0.9619 0.1060  5 Pd 2.70-2.80
Sb6 0.7791 0.6915 0.5581  7 Pd 2.62-2.77
Pd1 0.2936 0.9040 0.5871  4 Sb 2.71-2.77, 3 Pd 2.96-3.01
Pd2 0.1193 0.2616 0.2385  2 Sb 2.65-2.73, 1 Pd 2.82
Pd3 0.9493 0.0706 0.8987  4 Sb 2.72-2.80, 1 Pd 2.82
Pd4 0.6090 0.9427 0.2181  3 Sb 2.70-2.83, 1 Pd 2.88
Pd5 0.0507 0.5706 0.1013  4 Sb 2.72-2.80, 1 Pd 2.82
Pd6 0.3910 0.4427 0.7819  3 Sb 2.70-2.83, 1 Pd 2.88
Pd7 0.7064 0.4040 0.4129  4 Sb 2.71-2.77, 3 Pd 2.96-3.01
Pd8 0.2791 0.4932 0.5582  3 Sb 2.62-2.69, 1 Pd 2.88
Pd9 0.8807 0.7616 0.7615  2 Sb 2.65-2.73, 1 Pd 2.82
Pd10 0.7209 0.9932 0.4418  3 Sb 2.62-2.69, 1 Pd 2.88

=====

(2)
LaBBr | PBE | relaxed

Properties
* energy: -4.883 eV/atom
* energy relative to the elements, uncorrected: -0.46 eV/atom
* theoretical density: 4.46 Mg/m³
* space group: Immm

a b c (Å): 4.3511 4.6692 9.0000
angles (deg): 105.03 103.99 90.00
With the nearest neighbours (Å) after each atom.
Fractional positions:
La1 0.8810 0.3810 0.7621  2 B 2.45
La2 0.1190 0.6190 0.2379  2 B 2.45
B1 0.6741 0.5000 0.0000  1 B 1.52
B2 0.3259 0.5000 0.0000  1 B 1.52
Br1 0.6790 0.1790 0.3580  5 La 3.35-3.40
Br2 0.3210 0.8210 0.6420  5 La 3.35-3.40

=====

(3)
Sr2HfNiS5 | PBE | relaxed

Properties
* energy: -5.913 eV/atom
* energy relative to the elements, uncorrected: -1.50 eV/atom
* theoretical density: 4.74 Mg/m³
* space group: Cmc2_1

a b c (Å): 3.8280 8.8276 12.1676
angles (deg): 90.00 90.00 102.52
With the nearest neighbours (Å) after each atom.
Fractional positions:
Hf1 0.8047 0.6093 0.5208  6 S 2.52-2.60
Hf2 0.1953 0.3907 0.0208  6 S 2.52-2.60
S1 0.9539 0.9078 0.5228  2 Ni 2.22
S2 0.0461 0.0922 0.0228  2 Ni 2.22
S3 0.5043 0.0086 0.7749  1 Ni 2.23
S4 0.7009 0.4018 0.1635  2 Hf 2.59
S5 0.3416 0.6833 0.0106  1 Hf 2.52
S6 0.6938 0.3875 0.8757  1 Ni 2.31
S7 0.6584 0.3167 0.5106  1 Hf 2.52
S8 0.4957 0.9914 0.2749  1 Ni 2.23
S9 0.2991 0.5982 0.6635  2 Hf 2.59
S10 0.3062 0.6125 0.3757  1 Ni 2.31
Sr1 0.8802 0.7603 0.1892  7 S 2.95-3.23
Sr2 0.8811 0.7623 0.8311  7 S 2.94-3.27
Sr3 0.1198 0.2397 0.6892  7 S 2.95-3.23
Sr4 0.1189 0.2377 0.3311  7 S 2.94-3.27
Ni1 0.4336 0.8672 0.4353  4 S 2.22-2.31
Ni2 0.5664 0.1328 0.9353  4 S 2.22-2.31

=====

(4)
Ba8GaPd2 | PBE | relaxed

Properties
* energy: -2.715 eV/atom
* theoretical density: 3.74 Mg/m³
* ΔH_f (0 K): -0.0972 eV per atom
* space group: P-1

a b c (Å): 6.7237 10.2719 10.2672
angles (deg): 120.04 89.99 90.00
With the nearest neighbours (Å) after each atom.
Fractional positions:
Ba1 0.7504 0.8365 0.1620  1 Pd 3.04, 1 Ga 3.35
Ba2 0.2497 0.6745 0.8363  1 Pd 3.04, 1 Ga 3.35
Ba3 0.2496 0.1635 0.8380  1 Pd 3.04, 1 Ga 3.35
Ba4 0.7503 0.8380 0.6744  1 Pd 3.03, 1 Ga 3.35
Ba5 0.2497 0.1620 0.3256  1 Pd 3.03, 1 Ga 3.35
Ba6 0.7436 0.3333 0.6668  2 Pd 3.30-3.42
Ba7 0.7503 0.3255 0.1637  1 Pd 3.03, 1 Ga 3.35
Ba8 0.2564 0.6667 0.3332  2 Pd 3.30-3.42
Ga1 0.0000 0.0000 0.0000  6 Ba 3.35
Pd1 0.2349 0.3334 0.6668  4 Ba 3.03-3.30
Pd2 0.7651 0.6666 0.3331  4 Ba 3.03-3.30

=====

(5)
Mg4Tc | PBE | relaxed

Properties
* energy: -3.152 eV/atom
* theoretical density: 3.30 Mg/m³
* ΔH_f (0 K): 0.1972 eV per atom
* energy above the most stable polymorph in this dataset: 0.050 eV per atom
* space group: I4/mmm

a b c (Å): 8.7583 8.7583 8.7583
angles (deg): 157.51 157.51 32.01
With the nearest neighbours (Å) after each atom.
Fractional positions:
Mg1 0.0826 0.0826 0.0000  5 Mg 2.78-3.02, 4 Tc 2.79
Mg2 0.6904 0.6904 0.0000  8 Mg 3.02-3.14, 1 Tc 3.21
Mg3 0.9174 0.9174 0.0000  5 Mg 2.78-3.02, 4 Tc 2.79
Mg4 0.3096 0.3096 0.0000  8 Mg 3.02-3.14, 1 Tc 3.21
Tc1 0.5000 0.5000 0.0000  8 Mg 2.79

=====

(6)
PmPr7Er4 | PBE | relaxed

Properties
* energy: -4.697 eV/atom
* theoretical density: 7.27 Mg/m³
* ΔH_f (0 K): 0.0082 eV per atom
* energy above the most stable polymorph in this dataset: 0.000 eV per atom
* space group: P-1

a b c (Å): 7.3387 9.7200 9.0424
angles (deg): 81.18 89.97 40.95
With the nearest neighbours (Å) after each atom.
Fractional positions:
Er1 0.5324 0.7230 0.3336  3 Er 3.58-3.68, 8 Pr 3.59-3.72, 1 Pm 3.64
Er2 0.2823 0.2181 0.3362  4 Er 3.56-3.68, 8 Pr 3.58-3.67
Er3 0.7177 0.7819 0.6637  4 Er 3.56-3.68, 8 Pr 3.58-3.67
Er4 0.4676 0.2770 0.6664  3 Er 3.58-3.68, 8 Pr 3.59-3.72, 1 Pm 3.64
Pr1 0.7547 0.4998 0.0029  3 Er 3.60-3.65, 7 Pr 3.60-3.74, 2 Pm 3.69-3.70
Pr2 0.0303 0.7183 0.3366  6 Er 3.58-3.72, 5 Pr 3.59-3.70, 1 Pm 3.65
Pr3 0.2453 0.5002 0.9971  3 Er 3.60-3.65, 7 Pr 3.60-3.74, 2 Pm 3.69-3.70
Pr4 0.2222 0.7774 0.6653  6 Pr 3.59-3.70, 5 Er 3.62-3.70, 1 Pm 3.63
Pr5 0.9697 0.2817 0.6634  6 Er 3.58-3.72, 5 Pr 3.59-3.70, 1 Pm 3.65
Pr6 0.7778 0.2226 0.3347  6 Pr 3.59-3.70, 5 Er 3.62-3.70, 1 Pm 3.63
Pr7 0.5000 0.0000 0.0000  4 Er 3.60-3.63, 6 Pr 3.64-3.66, 2 Pm 3.67
Pm1 0.0000 0.0000 0.0000  10 Pr 3.63-3.70, 2 Er 3.64

=====

(7)
Tm3TlPt2 | PBE | relaxed

Properties
* energy: -5.620 eV/atom
* theoretical density: 13.55 Mg/m³
* ΔH_f (0 K): -0.9767 eV per atom
* space group: P4/mmm

a b c (Å): 3.5007 3.5007 11.0135
angles (deg): 90.00 90.00 90.00
With the nearest neighbours (Å) after each atom.
Fractional positions:
Pt1 0.5000 0.5000 0.8404  8 Tm 2.95-3.04
Pt2 0.5000 0.5000 0.1596  8 Tm 2.95-3.04
Tm1 0.0000 0.0000 0.3053  4 Pt 2.95, 4 Tl 3.27
Tm2 0.0000 0.0000 0.0000  8 Pt 3.04, 2 Tm 3.36
Tm3 0.0000 0.0000 0.6947  4 Pt 2.95, 4 Tl 3.27
Tl1 0.5000 0.5000 0.5000  8 Tm 3.27, 4 Tl 3.50

=====

(8)
CuGeSb2 | PBE | relaxed

Properties
* energy: -4.139 eV/atom
* energy relative to the elements, uncorrected: 0.10 eV/atom
* theoretical density: 5.70 Mg/m³
* space group: I-42d

a b c (Å): 6.0901 6.0901 7.3551
angles (deg): 65.54 65.54 90.00
With the nearest neighbours (Å) after each atom.
Fractional positions:
Sb1 0.6032 0.1250 0.2500  2 Cu 2.54, 2 Ge 2.70
Sb2 0.3750 0.3968 0.7500  2 Cu 2.54, 2 Ge 2.70
Sb3 0.8750 0.8532 0.7500  2 Cu 2.54, 2 Ge 2.70
Sb4 0.1468 0.6250 0.2500  2 Cu 2.54, 2 Ge 2.70
Cu1 0.2500 0.7500 0.5000  4 Sb 2.54
Cu2 0.5000 0.5000 0.0000  4 Sb 2.54
Ge1 0.7500 0.2500 0.5000  4 Sb 2.70
Ge2 0.0000 0.0000 0.0000  4 Sb 2.70

=====

(9)
NaTl2 | PBE | relaxed

Properties
* energy: -2.124 eV/atom
* theoretical density: 8.29 Mg/m³
* ΔH_f (0 K): -0.1071 eV per atom
* energy above the most stable polymorph in this dataset: 0.000 eV per atom
* space group: I4/mmm

a b c (Å): 3.7978 3.7978 6.5693
angles (deg): 106.80 106.80 90.00
With the nearest neighbours (Å) after each atom.
Fractional positions:
Tl1 0.3333 0.3333 0.6667  4 Na 3.35, 4 Tl 3.35
Tl2 0.6667 0.6667 0.3333  4 Na 3.35, 4 Tl 3.35
Na1 0.0000 0.0000 0.0000  8 Tl 3.35

=====

(10)
Ca2La2Zn | PBE | relaxed

Properties
* energy: -2.900 eV/atom
* theoretical density: 3.85 Mg/m³
* ΔH_f (0 K): 0.1268 eV per atom
* energy above the most stable polymorph in this dataset: 0.000 eV per atom
* space group: P4/mbm

a b c (Å): 7.8368 7.8368 5.9434
angles (deg): 90.00 90.00 90.00
With the nearest neighbours (Å) after each atom.
Fractional positions:
Ca1 0.3297 0.1703 0.5000  6 La 3.68-3.82, 5 Ca 3.78-4.11
Ca2 0.6703 0.8297 0.5000  6 La 3.68-3.82, 5 Ca 3.78-4.11
Ca3 0.8297 0.3297 0.5000  6 La 3.68-3.82, 5 Ca 3.78-4.11
Ca4 0.1703 0.6703 0.5000  6 La 3.68-3.82, 5 Ca 3.78-4.11
Zn1 0.5000 0.5000 0.0000  4 La 3.06
Zn2 0.0000 0.0000 0.0000  4 La 3.06
La1 0.1338 0.3662 0.0000  1 La 2.96, 2 Zn 3.06
La2 0.3662 0.8662 0.0000  1 La 2.96, 2 Zn 3.06
La3 0.8662 0.6338 0.0000  1 La 2.96, 2 Zn 3.06
La4 0.6338 0.1338 0.0000  1 La 2.96, 2 Zn 3.06

=====

- The lowest theoretical density belongs to which entry?
  Mg4Tc

=====

- Which formula does entry 1 have?
  Sm2Sb3Pd5

=====

Please write out number 3 again, unchanged.
Sr2HfNiS5 | PBE | relaxed

Properties
* energy: -5.913 eV/atom
* energy relative to the elements, uncorrected: -1.50 eV/atom
* theoretical density: 4.74 Mg/m³
* space group: Cmc2_1

a b c (Å): 3.8280 8.8276 12.1676
angles (deg): 90.00 90.00 102.52
With the nearest neighbours (Å) after each atom.
Fractional positions:
Hf1 0.8047 0.6093 0.5208  6 S 2.52-2.60
Hf2 0.1953 0.3907 0.0208  6 S 2.52-2.60
S1 0.9539 0.9078 0.5228  2 Ni 2.22
S2 0.0461 0.0922 0.0228  2 Ni 2.22
S3 0.5043 0.0086 0.7749  1 Ni 2.23
S4 0.7009 0.4018 0.1635  2 Hf 2.59
S5 0.3416 0.6833 0.0106  1 Hf 2.52
S6 0.6938 0.3875 0.8757  1 Ni 2.31
S7 0.6584 0.3167 0.5106  1 Hf 2.52
S8 0.4957 0.9914 0.2749  1 Ni 2.23
S9 0.2991 0.5982 0.6635  2 Hf 2.59
S10 0.3062 0.6125 0.3757  1 Ni 2.31
Sr1 0.8802 0.7603 0.1892  7 S 2.95-3.23
Sr2 0.8811 0.7623 0.8311  7 S 2.94-3.27
Sr3 0.1198 0.2397 0.6892  7 S 2.95-3.23
Sr4 0.1189 0.2377 0.3311  7 S 2.94-3.27
Ni1 0.4336 0.8672 0.4353  4 S 2.22-2.31
Ni2 0.5664 0.1328 0.9353  4 S 2.22-2.31